DFT (PBE) results for a geometry-optimized Ba2GdO3F structure.

total magnetization: 0.001 μB per atom
electronic total energy: -6.74 eV/atom

Unit cell a=4.366 b=4.366 c=13.736 alpha=90.00 beta=90.00 gamma=90.00
Fractional coordinates of all 14 atoms:
F 0.000 0.500 0.427
F 0.500 0.000 0.573
Ba 0.500 0.000 0.103
Ba 0.000 0.500 0.618
Ba 0.000 0.500 0.897
Ba 0.500 0.000 0.382
Gd 0.000 0.500 0.240
Gd 0.500 0.000 0.760
O 0.000 0.000 0.267
O 0.000 0.500 0.079
O 0.500 0.000 0.921
O 0.500 0.500 0.733
O 0.000 0.000 0.733
O 0.500 0.500 0.267

=====

DFT (PBE) results for a geometry-optimized HoAsAuO structure.

E above lowest polymorph: 695.2 meV per atom
total magnetization: 0.001 μB per atom
electronic total energy: -5.27 eV/atom

Unit cell a=5.789 b=5.789 c=4.711 alpha=90.00 beta=90.00 gamma=90.00
Fractional coordinates of all 8 atoms:
O 0.000 0.000 0.000
O 0.500 0.500 0.000
Ho 0.000 0.000 0.500
Ho 0.500 0.500 0.500
Au 0.500 0.000 0.005
Au 0.000 0.500 0.995
As 0.000 0.500 0.495
As 0.500 0.000 0.505

=====

DFT (PBE) results for a geometry-optimized CsSm2Cu3Se4S structure.

total magnetization: 0.000 μB per atom
electronic total energy: -4.74 eV/atom

Unit cell a=7.663 b=7.663 c=17.541 alpha=90.00 beta=90.00 gamma=148.66
Fractional coordinates of all 22 atoms:
Cs 0.435 0.565 0.250
Cs 0.565 0.435 0.750
S 0.729 0.271 0.250
S 0.271 0.729 0.750
Se 0.943 0.057 0.613
Se 0.943 0.057 0.887
Se 0.335 0.665 0.070
Se 0.665 0.335 0.930
Se 0.057 0.943 0.113
Se 0.335 0.665 0.430
Se 0.665 0.335 0.570
Se 0.057 0.943 0.387
Cu 0.085 0.915 0.972
Cu 0.166 0.834 0.250
Cu 0.915 0.085 0.472
Cu 0.085 0.915 0.528
Cu 0.834 0.166 0.750
Cu 0.915 0.085 0.028
Sm 0.307 0.693 0.594
Sm 0.693 0.307 0.094
Sm 0.307 0.693 0.906
Sm 0.693 0.307 0.406

=====

DFT (PBE) results for a geometry-optimized Sr2OsO5 structure.

total magnetization: 0.183 μB per atom
electronic total energy: -6.94 eV/atom

Unit cell a=7.137 b=5.462 c=11.002 alpha=90.00 beta=90.00 gamma=90.00
Fractional coordinates of all 32 atoms:
O 0.286 0.250 0.396
O 0.500 0.000 0.000
O 0.500 0.500 0.000
O 0.465 0.750 0.207
O 0.339 0.500 0.613
O 0.000 0.000 0.500
O 0.714 0.750 0.604
O 0.535 0.250 0.793
O 0.339 0.000 0.613
O 0.661 0.500 0.387
O 0.035 0.250 0.707
O 0.214 0.750 0.896
O 0.161 0.500 0.113
O 0.786 0.250 0.104
O 0.965 0.750 0.293
O 0.839 0.500 0.887
O 0.661 0.000 0.387
O 0.161 0.000 0.113
O 0.839 0.000 0.887
O 0.000 0.500 0.500
Sr 0.984 0.250 0.283
Sr 0.516 0.750 0.783
Sr 0.165 0.250 0.917
Sr 0.335 0.750 0.417
Sr 0.484 0.250 0.217
Sr 0.016 0.750 0.717
Sr 0.665 0.250 0.583
Sr 0.835 0.750 0.083
Os 0.323 0.750 0.062
Os 0.177 0.250 0.562
Os 0.823 0.750 0.438
Os 0.677 0.250 0.938

=====

DFT (PBE) results for a geometry-optimized ZrPSe3S structure.

total magnetization: 0.002 μB per atom
electronic total energy: -5.23 eV/atom

Unit cell a=6.217 b=6.222 c=6.335 alpha=118.07 beta=118.25 gamma=91.96
Fractional coordinates of all 6 atoms:
Se 0.114 0.597 0.769
Se 0.411 0.357 0.254
Se 0.833 0.891 0.247
Zr 0.985 0.997 0.980
P 0.749 0.247 0.506
S 0.657 0.162 0.744

=====

DFT (PBE) results for a geometry-optimized MgOsPd structure.

E above lowest polymorph: 0.0 meV per atom
total magnetization: 0.681 μB per atom
electronic total energy: -5.39 eV/atom

Unit cell a=4.279 b=4.279 c=4.279 alpha=60.00 beta=60.00 gamma=60.00
Fractional coordinates of all 3 atoms:
Pd 0.000 0.000 0.000
Os 0.750 0.750 0.750
Mg 0.250 0.250 0.250

=====

DFT (PBE) results for a geometry-optimized LiNbSnOs structure.

E above lowest polymorph: 0.0 meV per atom
total magnetization: 0.000 μB per atom
electronic total energy: -7.12 eV/atom

Unit cell a=4.493 b=4.493 c=4.493 alpha=60.00 beta=60.00 gamma=60.00
Fractional coordinates of all 4 atoms:
Os 0.500 0.500 0.500
Li 0.000 0.000 0.000
Nb 0.750 0.750 0.750
Sn 0.250 0.250 0.250

=====

DFT (PBE) results for a geometry-optimized DyIr2O4 structure.

total magnetization: 0.000 μB per atom
electronic total energy: -7.10 eV/atom

Unit cell a=6.375 b=6.375 c=6.375 alpha=119.99 beta=90.02 gamma=119.99
Fractional coordinates of all 14 atoms:
O 0.608 0.785 0.392
O 0.608 0.215 0.392
O 0.142 0.285 0.858
O 0.177 0.785 0.392
O 0.142 0.285 0.427
O 0.608 0.215 0.823
O 0.573 0.715 0.858
O 0.142 0.715 0.858
Ir 0.875 0.250 0.625
Ir 0.375 0.750 0.625
Ir 0.375 0.250 0.625
Ir 0.375 0.750 0.125
Dy 0.750 0.500 0.250
Dy 0.000 0.000 0.000